RbCuSeN2: optimized geometry, PBE.

Output
calculated volume = 169.88 Å³ per cell
uncorrected formation energy = 2.45 eV per atom
energy relative to the lowest polymorph listed for this composition = 999 meV/atom
N(E_F) = 4.1 states/eV per cell
symmetry = No. 123
calculated total energy = -12.96 eV per cell

Cell lengths 5.067, 5.067, 6.617 Å; angles 90.00, 90.00, 90.00 degrees
Element x y z (fractional)
Rb (0.000, 0.000, 0.000)
Cu (0.500, 0.500, 0.500)
Se (0.000, 0.000, 0.500)
N (0.000, 0.500, 0.000)
N (0.500, 0.000, 0.000)

=====

Sc11Al9Cu4: optimized geometry, PBE.

Output
calculated volume = 445.09 Å³ per cell
ΔH_f (0 K) = -0.4387 eV per atom
N(E_F) = 14.2 states/eV per cell
symmetry = No. 65
calculated total energy = -130.24 eV per cell

Cell lengths 12.066, 12.066, 3.317 Å; angles 90.00, 90.00, 112.85 degrees
Element x y z (fractional)
Sc (0.000, 0.000, 0.000)
Sc (0.062, 0.411, 0.000)
Sc (0.161, 0.839, 0.000)
Sc (0.304, 0.304, 0.000)
Sc (0.370, 0.630, 0.000)
Sc (0.411, 0.062, 0.000)
Sc (0.589, 0.938, 0.000)
Sc (0.630, 0.370, 0.000)
Sc (0.696, 0.696, 0.000)
Sc (0.839, 0.161, 0.000)
Sc (0.938, 0.589, 0.000)
Al (0.074, 0.216, 0.500)
Al (0.161, 0.631, 0.500)
Al (0.216, 0.074, 0.500)
Al (0.369, 0.839, 0.500)
Al (0.500, 0.500, 0.500)
Al (0.631, 0.161, 0.500)
Al (0.784, 0.926, 0.500)
Al (0.839, 0.369, 0.500)
Al (0.926, 0.784, 0.500)
Cu (0.246, 0.448, 0.500)
Cu (0.448, 0.246, 0.500)
Cu (0.552, 0.754, 0.500)
Cu (0.754, 0.552, 0.500)

=====

Rh3SN: optimized geometry, PBE.

Output
calculated volume = 68.56 Å³ per cell
uncorrected formation energy = 0.50 eV per atom
energy relative to the lowest polymorph listed for this composition = 0 meV/atom
N(E_F) = 6.5 states/eV per cell
symmetry = No. 221
calculated total energy = -32.00 eV per cell

Cell lengths 4.093, 4.093, 4.093 Å; angles 90.00, 90.00, 90.00 degrees
Element x y z (fractional)
Rh (0.000, 0.000, 0.500)
Rh (0.000, 0.500, 0.000)
Rh (0.500, 0.000, 0.000)
S (0.500, 0.500, 0.500)
N (0.000, 0.000, 0.000)

=====

PrZrPd2: optimized geometry, PBE.

Output
calculated volume = 86.29 Å³ per cell
ΔH_f (0 K) = -0.6412 eV per atom
N(E_F) = 4.3 states/eV per cell
symmetry = No. 123
calculated total energy = -26.28 eV per cell

Cell lengths 3.413, 3.413, 7.407 Å; angles 90.00, 90.00, 90.00 degrees
Element x y z (fractional)
Pr (0.000, 0.000, 0.000)
Zr (0.000, 0.000, 0.500)
Pd (0.500, 0.500, 0.298)
Pd (0.500, 0.500, 0.702)

=====

Sm5Y2Sn5: optimized geometry, PBE.

Output
calculated volume = 394.39 Å³ per cell
ΔH_f (0 K) = -0.5508 eV per atom
N(E_F) = 8.0 states/eV per cell
symmetry = No. 12
calculated total energy = -63.15 eV per cell

Cell lengths 7.732, 7.732, 12.765 Å; angles 108.57, 108.57, 33.23 degrees
Element x y z (fractional)
Sm (0.000, 0.000, 0.000)
Sm (0.160, 0.160, 0.541)
Sm (0.227, 0.227, 0.845)
Sm (0.773, 0.773, 0.155)
Sm (0.840, 0.840, 0.459)
Y (0.450, 0.450, 0.715)
Y (0.550, 0.550, 0.285)
Sn (0.197, 0.197, 0.295)
Sn (0.384, 0.384, 0.073)
Sn (0.500, 0.500, 0.500)
Sn (0.616, 0.616, 0.927)
Sn (0.803, 0.803, 0.705)

=====

KSr2SnRh: optimized geometry, PBE.

Output
calculated volume = 177.02 Å³ per cell
ΔH_f (0 K) = 0.7653 eV per atom
energy relative to the lowest polymorph listed for this composition = 1058 meV/atom
N(E_F) = 3.8 states/eV per cell
symmetry = No. 123
calculated total energy = -11.99 eV per cell

Cell lengths 6.117, 6.117, 4.731 Å; angles 90.00, 90.00, 90.00 degrees
Element x y z (fractional)
K (0.000, 0.000, 0.000)
Sr (0.000, 0.500, 0.000)
Sr (0.500, 0.000, 0.000)
Sn (0.500, 0.500, 0.500)
Rh (0.000, 0.000, 0.500)